Entry 1:
Compound: Sm6Sb3TeAs2
Source: Alexandria
Functional: PBE
Structure: relaxed

## Properties
ΔE_f (raw) (eV per atom): -1.34
Space group: C2/m, No. 12
N(E_F) (states/eV/cell): 2.18

POSCAR file:
```
Sm6Sb3TeAs2
1.0
4.374 0.000 0.000
0.000 8.789 0.323
-2.187 -2.521 9.204
Sm Te As Sb
6 1 2 3
Direct
0.671 0.574 0.342 Sm
0.329 0.902 0.658 Sm
0.993 0.741 0.987 Sm
0.007 0.259 0.013 Sm
0.671 0.098 0.342 Sm
0.329 0.426 0.658 Sm
0.500 0.000 0.000 Te
0.168 0.334 0.336 As
0.832 0.666 0.664 As
0.500 0.500 0.000 Sb
0.163 0.833 0.326 Sb
0.837 0.167 0.674 Sb
```


Entry 2:
Compound: Mg3Se2
Source: Alexandria
Functional: PBE
Structure: relaxed

## Properties
ΔE_f (raw) (eV per atom): -0.71
Space group: Fdd2, No. 43
E above lowest polymorph (kJ/mol of atoms): 17.3
N(E_F) (states/eV/cell): 1.11

POSCAR file:
```
Mg3Se2
1.0
7.680 -3.754 -1.543
5.162 -1.953 4.315
1.131 -6.175 -2.118
Mg Se
6 4
Direct
0.749 0.513 0.825 Mg
0.069 0.931 0.931 Mg
0.912 0.825 0.513 Mg
0.319 0.181 0.181 Mg
0.737 0.501 0.338 Mg
0.425 0.338 0.501 Mg
0.507 0.411 0.819 Se
0.839 0.743 0.987 Se
0.431 0.987 0.743 Se
0.263 0.819 0.411 Se
```


Entry 3:
Compound: Zn2InAu
Source: Alexandria
Functional: PBE
Structure: relaxed

## Properties
Energy of formation (meV per atom): -28
Space group: P2/m, No. 10
N(E_F) (states/eV/cell): 1.18

POSCAR file:
```
Zn2InAu
1.0
4.790 0.000 0.000
0.000 3.285 -0.012
0.000 -0.462 5.009
In Zn Au
1 2 1
Direct
0.500 0.750 0.750 In
0.000 0.316 0.505 Zn
0.000 0.184 0.995 Zn
0.500 0.250 0.250 Au
```


Entry 4:
Compound: FeW2Br
Source: Alexandria
Functional: PBE
Structure: relaxed

## Properties
ΔE_f (raw) (eV per atom): 1.13
Space group: Fm-3m, No. 225
E above lowest polymorph (kJ/mol of atoms): 54.5
N(E_F) (states/eV/cell): 4.82

POSCAR file:
```
FeW2Br
1.0
0.000 3.097 3.097
3.097 0.000 3.097
3.097 3.097 0.000
W Br Fe
2 1 1
Direct
0.750 0.750 0.750 W
0.250 0.250 0.250 W
0.500 0.500 0.500 Br
0.000 0.000 0.000 Fe
```